No. 1
A relaxed Sm4TlSb crystal, computed with PBE-GGA.

Output
- Calculated density: 7.7 g/cm3
- Magnetization: 0.00 μB/f.u.
- V: 803.0 Å³/cell
- Formation energy from raw total energies: -32 kJ per mole of atoms

a b c (Å): 5.694 21.873 6.448
angles (deg): 90.00 90.00 90.00
Space group Cmcm (No. 63)
One atom of each set of equivalent atoms:
Sm (0.000, 0.066, 0.250) [4 per cell]
Sm (0.000, 0.211, 0.000) [8 per cell]
Sm (0.000, 0.371, 0.250) [4 per cell]
Tl (0.000, 0.074, 0.750) [4 per cell]
Sb (0.000, 0.346, 0.750) [4 per cell]

=====

No. 2
A relaxed CsMo2H8 crystal, computed with PBE-GGA.

Output
- Electronic total energy: -49.2 eV/f.u.
- Calculated density: 4.2 g/cm3
- Magnetization: 0.00 μB/f.u.
- V: 261.1 Å³/cell

a b c (Å): 4.610 8.708 6.505
angles (deg): 90.00 90.76 90.00
Space group Cm (No. 8)
One atom of each set of equivalent atoms:
Cs (0.000, 0.000, 0.000) [2 per cell]
Mo (0.482, 0.177, 0.481) [4 per cell]
H (0.067, 0.500, 0.338) [2 per cell]
H (0.100, 0.135, 0.393) [4 per cell]
H (0.323, 0.326, 0.644) [4 per cell]
H (0.429, 0.000, 0.652) [2 per cell]
H (0.495, 0.184, 0.221) [4 per cell]

=====

No. 3
A relaxed ThGa2Ir2Pt crystal, computed with PBE-GGA.

Output
- Calculated density: 13.0 g/cm3
- Magnetization: 0.00 μB/f.u.
- V: 121.0 Å³/cell
- Formation energy: -0.228 eV/atom

a b c (Å): 4.652 4.652 5.594
angles (deg): 90.00 90.00 90.00
Space group P4/mmm (No. 123)
One atom of each set of equivalent atoms:
Th (0.000, 0.000, 0.000) [1 per cell]
Ga (0.000, 0.500, 0.500) [2 per cell]
Ir (0.500, 0.500, 0.226) [2 per cell]
Pt (0.000, 0.000, 0.500) [1 per cell]

=====

No. 4
A relaxed SrLi2ScF8 crystal, computed with PBE-GGA.

Output
- Calculated density: 2.5 g/cm3
- Magnetization: 1.07 μB/f.u.
- V: 194.9 Å³/cell
- Formation energy from raw total energies: -305 kJ per mole of atoms

a b c (Å): 5.7779 5.7779 6.7423
angles (deg): 90.00 90.00 120.00
Space group P-3m1 (No. 164)
One atom of each set of equivalent atoms:
Sr (0.0000, 0.0000, 0.0000) [1 per cell]
Li (0.3333, 0.6667, 0.2465) [2 per cell]
Sc (0.0000, 0.0000, 0.5000) [1 per cell]
F (0.1532, 0.3064, 0.3021) [6 per cell]
F (0.3333, 0.6667, 0.9643) [2 per cell]

=====

No. 5
A relaxed KTaHg2 crystal, computed with PBE-GGA.

Output
- Calculated density: 6.8 g/cm3
- E above lowest polymorph: 554.8 meV/atom
- Magnetization: 1.90 μB/f.u.
- V: 603.3 Å³/cell
- Formation energy: 0.934 eV/atom

a b c (Å): 5.794 5.794 17.974
angles (deg): 90.00 90.00 90.00
Space group I-42d (No. 122)
One atom of each set of equivalent atoms:
K (0.000, 0.000, 0.000) [4 per cell]
Ta (0.000, 0.000, 0.500) [4 per cell]
Hg (0.108, 0.250, 0.625) [8 per cell]

=====

No. 6
A relaxed Dy6SiSb2 crystal, computed with PBE-GGA.

Output
- Calculated density: 8.1 g/cm3
- Magnetization: 0.01 μB/f.u.
- V: 511.4 Å³/cell
- Formation energy from raw total energies: -62 kJ per mole of atoms

a b c (Å): 6.268 8.153 11.783
angles (deg): 90.00 121.86 90.00
Space group P2_1/c (No. 14)
One atom of each set of equivalent atoms:
Dy (0.082, 0.184, 0.452) [4 per cell]
Dy (0.323, 0.676, 0.453) [4 per cell]
Dy (0.359, 0.032, 0.235) [4 per cell]
Si (0.500, 0.000, 0.500) [2 per cell]
Sb (0.159, 0.114, 0.749) [4 per cell]